Compound: Y3WN
Source: the Alexandria database
Functional: PBE
Structure: optimized geometry

Computed properties:
- Electronic total energy: -6.658 eV/atom
- Total magnetic moment: 0.00 μB per cell
- Uncorrected formation energy: 1.476 eV per atom
- Calculated density: 5.16 g cm⁻³
- Symmetry: No. 221

Cell and atoms, written as CIF:
```
data_Y3WN
_space_group_name_H-M_alt 'P 1'
_space_group_IT_number 1
_cell_length_a 5.309
_cell_length_b 5.309
_cell_length_c 5.309
_cell_angle_alpha 90.00
_cell_angle_beta 90.00
_cell_angle_gamma 90.00
loop_
_space_group_symop_operation_xyz
'x,y,z'
loop_
_atom_site_label
_atom_site_type_symbol
_atom_site_fract_x
_atom_site_fract_y
_atom_site_fract_z
_atom_site_occupancy
Y1 Y 0.000 0.000 0.500 1
Y2 Y 0.000 0.500 0.000 1
Y3 Y 0.500 0.000 0.000 1
W1 W 0.000 0.000 0.000 1
N1 N 0.500 0.500 0.500 1
```